Hf3TaTc after structural relaxation. Source: the Alexandria database, functional PBE-GGA.

```
Hf3TaTc
1.0
4.8956 0.0000 0.0000
0.0000 4.8956 0.0000
0.0000 0.0000 4.8956
Hf Tc Ta
3 1 1
Cartesian
0.0000 2.4478 0.0000
0.0000 0.0000 2.4478
2.4478 0.0000 0.0000
0.0000 0.0000 0.0000
2.4478 2.4478 2.4478
```

Output
Its space-group type is Pm-3m (221). As for the total energy: -48.0 eV per cell. As for the magnetization: 0.00 Bohr magnetons per cell. The energy of formation is 0.82 eV/atom.

TaGePO2 after structural relaxation. Source: the Alexandria database, functional PBE-GGA.

```
TaGePO2
1.0
-2.0629 -1.6390 2.8990
-1.6624 -2.4480 -2.5670
3.8408 -3.4367 0.7901
P Ge O Ta
1 1 2 1
Cartesian
1.9204 -1.7184 0.3950
0.0577 -3.7619 0.5610
-0.8312 -1.2240 -1.2835
-1.0315 -0.8195 1.4495
0.0000 0.0000 0.0000
```

Output
Its space-group type is P4/mmm (123). As for the total energy: -38.4 eV per cell. As for the uncorrected formation energy: -1.3110 eV per atom. As for the magnetization: 0.00 Bohr magnetons per cell.

Cs3HfSc2Te6 after structural relaxation. Source: the Alexandria database, functional PBE-GGA.

```
Cs3HfSc2Te6
1.0
-1.6984 3.6508 -6.2930
-0.9601 -7.3980 0.4020
-7.4121 2.4855 4.9192
Cs Hf Sc Te
3 1 2 6
Cartesian
-4.7904 -4.2950 1.7344
-5.2801 3.0333 -2.7061
-5.0353 -0.6309 -0.4859
0.0000 0.0000 0.0000
-1.2063 -3.7124 -1.8313
-1.4521 -0.0348 -4.0597
-8.2421 0.9455 -1.6431
-3.3042 -2.2892 -3.4136
-1.8284 -2.2072 0.6714
-7.9994 -2.6880 0.5585
-6.7663 1.0275 2.4419
-2.0712 1.4262 -1.5303
```

Output
Its space-group type is C2/m (12). As for the total energy: -57.3 eV per cell. As for the uncorrected formation energy: -1.1057 eV per atom. As for the magnetization: 0.00 Bohr magnetons per cell.

LiCo2RuC after structural relaxation. Source: the Alexandria database, functional PBE-GGA.

```
LiCo2RuC
1.0
-1.9634 3.1170 -0.7998
-1.7673 -0.2615 3.3194
2.8446 2.2254 1.6898
Ru C Co Li
1 1 2 1
Cartesian
1.4223 1.1127 0.8449
0.0000 0.0000 0.0000
-0.8836 -0.1307 1.6597
-0.9817 1.5585 -0.3999
-0.4431 2.5405 2.1047
```

Output
Its space-group type is P4/mmm (123). As for the total energy: -34.0 eV per cell. As for the magnetization: 2.75 Bohr magnetons per cell. The energy of formation is 0.13 eV/atom.